Material: Tb2Pr3Dy5
Method: DFT, PBE
State: optimized geometry

Output
**Total magnetization**: 0.00 μB/atom
**DFT formation energy**: 0.188 eV/atom
**Space-group type**: No. 15

```
data_Tb2Pr3Dy5
_symmetry_space_group_name_H-M 'P 1'
_symmetry_Int_Tables_number 1
_cell_length_a 9.716
_cell_length_b 9.716
_cell_length_c 9.419
_cell_angle_alpha 108.39
_cell_angle_beta 108.39
_cell_angle_gamma 112.81
loop_
_symmetry_equiv_pos_as_xyz
'x,y,z'
loop_
_atom_site_label
_atom_site_type_symbol
_atom_site_fract_x
_atom_site_fract_y
_atom_site_fract_z
_atom_site_occupancy
Tb1 Tb 0.034 0.269 0.046 1
Tb2 Tb 0.269 0.034 0.546 1
Tb3 Tb 0.731 0.966 0.454 1
Tb4 Tb 0.966 0.731 0.954 1
Pr1 Pr 0.231 0.480 0.454 1
Pr2 Pr 0.266 0.734 0.250 1
Pr3 Pr 0.480 0.231 0.954 1
Pr4 Pr 0.520 0.769 0.046 1
Pr5 Pr 0.734 0.266 0.750 1
Pr6 Pr 0.769 0.520 0.546 1
Dy1 Dy 0.030 0.970 0.750 1
Dy2 Dy 0.127 0.352 0.730 1
Dy3 Dy 0.227 0.773 0.750 1
Dy4 Dy 0.352 0.127 0.230 1
Dy5 Dy 0.474 0.526 0.250 1
Dy6 Dy 0.526 0.474 0.750 1
Dy7 Dy 0.648 0.873 0.770 1
Dy8 Dy 0.773 0.227 0.250 1
Dy9 Dy 0.873 0.648 0.270 1
Dy10 Dy 0.970 0.030 0.250 1
```